Entry 1:
This record from Alexandria via LeMat-Bulk describes a geometry-optimized Al2TlRh structure. The functional is PBE-GGA.

Cell lengths 6.995, 6.995, 6.995 Å; angles 155.94, 145.52, 42.49 degrees
Fractional positions:
Rh: 0.484 0.484 0.000
Tl: 0.692 0.192 0.500
Al: 0.996 0.996 0.000
Al: 0.328 0.828 0.500

The value obtained for the energy relative to the elements is -0.2844 eV/atom. For the relative energy among the computed polymorphs, the calculation gives 0.30 eV/f.u. The value obtained for the volume is 19.71 Å³ per atom.

---

Entry 2:
This record from Alexandria via LeMat-Bulk describes a geometry-optimized Al2TlRh structure. The functional is PBE-GGA.

Cell lengths 4.950, 4.950, 4.950 Å; angles 130.46, 130.46, 72.67 degrees
Fractional positions:
Tl: 0.750 0.250 0.500
Rh: 0.250 0.750 0.500
Al: 0.500 0.500 0.000
Al: 0.000 0.000 0.000

The value obtained for the energy relative to the elements is -0.0204 eV/atom. For the relative energy among the computed polymorphs, the calculation gives 1.35 eV/f.u. The value obtained for the volume is 17.15 Å³ per atom.

---

Question: energy relative to the elements of number 2 (Al2TlRh)?
Answer: -0.0204 eV/atom